Material: BeTc2P2
Method: DFT, PBE
State: optimized geometry

a = 6.698 Å, b = 6.698 Å, c = 2.917 Å
α = 90.00°, β = 90.00°, γ = 90.00°
Fractional coordinates of all 10 atoms:
P  0.647  0.147  0.000
P  0.147  0.353  0.000
P  0.353  0.853  0.000
P  0.853  0.647  0.000
Tc  0.847  0.347  0.500
Tc  0.347  0.153  0.500
Tc  0.653  0.847  0.500
Tc  0.153  0.653  0.500
Be  0.500  0.500  0.000
Be  0.000  0.000  0.000

Properties
For the calculated total energy, the calculation gives -7.129 eV/atom.

---

Material: BeTcP
Method: DFT, PBE
State: optimized geometry

a = 4.308 Å, b = 4.308 Å, c = 4.308 Å
α = 139.04°, β = 139.04°, γ = 59.31°
Fractional coordinates of all 3 atoms:
Be  0.997  0.997  0.000
Tc  0.671  0.671  0.000
P  0.332  0.332  0.000

Properties
The energy relative to the lowest polymorph listed for this composition comes out at 0 meV/atom.

---

| no. | mass density (g/cm3) |
| --- | --- |
| 1 | 6.77 |
| 2 | 6.74 |